Entry 1:
Compound: Na2SeS3
Source: Alexandria via LeMat-Bulk
Functional: GGA-PBE
Structure: relaxed

Values from the calculation:
- Energy relative to the lowest polymorph listed for this composition: 0.000 eV per atom

abc: 7.181 7.181 9.217
angles: 117.55 117.55 45.85
Fractional coordinates of all 12 atoms:
Na: 0.088 0.606 0.906
Na: 0.394 0.912 0.594
Na: 0.606 0.088 0.406
Na: 0.912 0.394 0.094
Se: 0.313 0.687 0.750
Se: 0.687 0.313 0.250
S: 0.067 0.559 0.463
S: 0.289 0.711 0.250
S: 0.441 0.933 0.037
S: 0.559 0.067 0.963
S: 0.711 0.289 0.750
S: 0.933 0.441 0.537

Entry 2:
Compound: Na3SeS3
Source: Alexandria via LeMat-Bulk
Functional: GGA-PBE
Structure: relaxed

abc: 9.220 9.220 5.609
angles: 90.00 90.00 119.93
Fractional coordinates of all 14 atoms:
Na: 0.169 0.831 0.750
Na: 0.170 0.338 0.750
Na: 0.338 0.170 0.250
Na: 0.662 0.830 0.750
Na: 0.830 0.662 0.250
Na: 0.831 0.169 0.250
Se: 0.333 0.667 0.250
Se: 0.667 0.333 0.750
S: 0.183 0.817 0.250
S: 0.184 0.368 0.250
S: 0.368 0.184 0.750
S: 0.632 0.816 0.250
S: 0.816 0.632 0.750
S: 0.817 0.183 0.750

no.,E_form (uncorrected) (kJ/mol of formula units),DOS(E_F) (states/eV per atom)
1,-296,0.000
2,-368,0.800